Density functional theory data (PBE) for a relaxed structure of SrCa3Rh.

abc: 5.656 5.656 5.656
angles: 90.00 90.00 90.00
Atoms (fractional coordinates):
Sr: 0.000 0.000 0.000
Ca: 0.000 0.500 0.500
Ca: 0.500 0.000 0.500
Ca: 0.500 0.500 0.000
Rh: 0.500 0.500 0.500

The energy of formation is -21 kJ/mol of atoms. The calculation puts the spin magnetization at 0.00 μB/f.u. The calculation puts the density at 2.85 g cm⁻³. The energy above the most stable polymorph in this dataset is 0.010 eV/atom. Its symmetry is Pm-3m, No. 221. The density of states at the Fermi level is 4.210 states/eV per cell.